Here is crystalline AgBr2N at its relaxed geometry from the Alexandria database. Energies are from GGA-PBE.

The space group is Fm-3m (No. 225) and the conventional cell measures 6.976, 6.976 and 6.976 Å, with angles of 90.00, 90.00 and 90.00 degrees. The distinct sites, in fractional coordinates, are Ag at (0.000, 0.000, 0.000), Br at (0.250, 0.250, 0.250) and N at (0.000, 0.000, 0.500).

For the uncorrected formation energy, the calculation gives 1.320 eV per atom. As for the relative energy among the computed polymorphs: 308 meV/atom.



Here is crystalline LiMn2Ni at its relaxed geometry from the Alexandria database. Energies are from GGA-PBE.

The space group is R3m (No. 160, hexagonal axes) and the conventional cell measures 2.4999, 2.4999 and 25.5159 Å, with angles of 90.00, 90.00 and 120.00 degrees. The distinct sites, in fractional coordinates, are Li at (0.0000, 0.0000, 0.0000), Mn at (0.0000, 0.0000, 0.2415), Mn at (0.0000, 0.0000, 0.4984) and Ni at (0.0000, 0.0000, 0.7509).

The energy of formation comes out at 0.1087 eV/atom.



Here is crystalline Np3Si2 at its relaxed geometry from the Alexandria database. Energies are from GGA-PBE.

The space group is P4/mbm (No. 127) and the conventional cell measures 7.294, 7.294 and 4.011 Å, with angles of 90.00, 90.00 and 90.00 degrees. The distinct sites, in fractional coordinates, are Np at (0.000, 0.000, 0.000), Np at (0.180, 0.320, 0.500) and Si at (0.115, 0.615, 0.000).

For the uncorrected formation energy, the calculation gives -0.021 eV per atom.



Here is crystalline Sn3HgSe at its relaxed geometry from the Alexandria database. Energies are from GGA-PBE.

The space group is Pm-3m (No. 221) and the conventional cell measures 5.547, 5.547 and 5.547 Å, with angles of 90.00, 90.00 and 90.00 degrees. The distinct sites, in fractional coordinates, are Sn at (0.000, 0.000, 0.500), Hg at (0.000, 0.000, 0.000) and Se at (0.500, 0.500, 0.500).

For the uncorrected formation energy, the calculation gives 0.558 eV per atom. As for the relative energy among the computed polymorphs: 186 meV/atom.



Here is crystalline Li4Hg2Sb3 at its relaxed geometry from the Alexandria database. Energies are from GGA-PBE.

The space group is P-1 (No. 2) and the conventional cell measures 4.451, 5.130 and 9.637 Å, with angles of 93.35, 90.03 and 115.66 degrees. The distinct sites, in fractional coordinates, are Li at (0.079, 0.161, 0.322), Li at (0.309, 0.618, 0.901), Hg at (0.397, 0.794, 0.209), Sb at (0.000, 0.000, 0.000) and Sb at (0.217, 0.433, 0.604).

For the uncorrected formation energy, the calculation gives -0.353 eV per atom.



Here is crystalline HfCuSCl2 at its relaxed geometry from the Alexandria database. Energies are from GGA-PBE.

The space group is P4/mmm (No. 123) and the conventional cell measures 4.954, 4.954 and 4.924 Å, with angles of 90.00, 90.00 and 90.00 degrees. The distinct sites, in fractional coordinates, are Hf at (0.000, 0.000, 0.000), Cu at (0.500, 0.500, 0.500), S at (0.000, 0.000, 0.500) and Cl at (0.000, 0.500, 0.000).

For the uncorrected formation energy, the calculation gives -0.567 eV per atom. As for the relative energy among the computed polymorphs: 0 meV/atom.



Here is crystalline AlTlP at its relaxed geometry from the Alexandria database. Energies are from GGA-PBE.

The space group is I4mm (No. 107) and the conventional cell measures 3.465, 3.465 and 11.914 Å, with angles of 90.00, 90.00 and 90.00 degrees. The distinct sites, in fractional coordinates, are Al at (0.000, 0.000, 0.000), Tl at (0.000, 0.000, 0.746) and P at (0.000, 0.000, 0.508).

The energy of formation comes out at 0.0157 eV/atom. As for the relative energy among the computed polymorphs: 146 meV/atom.



Here is crystalline TlFe2Ag2 at its relaxed geometry from the Alexandria database. Energies are from GGA-PBE.

The space group is P4/mbm (No. 127) and the conventional cell measures 7.746, 7.746 and 2.956 Å, with angles of 90.00, 90.00 and 90.00 degrees. The distinct sites, in fractional coordinates, are Tl at (0.000, 0.000, 0.000), Fe at (0.166, 0.334, 0.500) and Ag at (0.129, 0.629, 0.000).

The energy of formation comes out at 0.5762 eV/atom. As for the relative energy among the computed polymorphs: 91 meV/atom.



Here is crystalline Nb2SiMoIr at its relaxed geometry from the Alexandria database. Energies are from GGA-PBE.

The space group is P4/mmm (No. 123) and the conventional cell measures 4.620, 4.620 and 4.309 Å, with angles of 90.00, 90.00 and 90.00 degrees. The distinct sites, in fractional coordinates, are Nb at (0.000, 0.500, 0.000), Si at (0.000, 0.000, 0.000), Mo at (0.500, 0.500, 0.500) and Ir at (0.000, 0.000, 0.500).

For the uncorrected formation energy, the calculation gives 0.686 eV per atom.



Here is crystalline Dy4Bi5C at its relaxed geometry from the Alexandria database. Energies are from GGA-PBE.

The space group is C2/m (No. 12) and the conventional cell measures 18.547, 3.984 and 8.004 Å, with angles of 90.00, 90.84 and 90.00 degrees. The distinct sites, in fractional coordinates, are Dy at (0.038, 0.000, 0.316), Dy at (0.118, 0.500, 0.637), Bi at (0.000, 0.500, 0.000), Bi at (0.136, 0.000, 0.955), Bi at (0.209, 0.000, 0.369) and C at (0.000, 0.500, 0.500).

The energy of formation comes out at -0.4291 eV/atom.



Here is crystalline Li2PmSiPt4 at its relaxed geometry from the Alexandria database. Energies are from GGA-PBE.

The space group is R-3m (No. 166, hexagonal axes) and the conventional cell measures 4.3067, 4.3067 and 24.5005 Å, with angles of 90.00, 90.00 and 120.00 degrees. The distinct sites, in fractional coordinates, are Li at (0.0000, 0.0000, 0.2424), Pm at (0.0000, 0.0000, 0.0000), Si at (0.0000, 0.0000, 0.5000), Pt at (0.0000, 0.0000, 0.1355) and Pt at (0.0000, 0.0000, 0.4025).

For the uncorrected formation energy, the calculation gives -0.777 eV per atom.



Here is crystalline Ac3PdPbBr at its relaxed geometry from the Alexandria database. Energies are from GGA-PBE.

The space group is P2_1/m (No. 11) and the conventional cell measures 8.511, 4.751 and 11.119 Å, with angles of 90.00, 111.51 and 90.00 degrees. The distinct sites, in fractional coordinates, are Ac at (0.036, 0.250, 0.349), Ac at (0.202, 0.250, 0.990), Ac at (0.424, 0.750, 0.614), Pd at (0.202, 0.250, 0.635), Pb at (0.242, 0.750, 0.229) and Br at (0.370, 0.750, 0.889).

For the uncorrected formation energy, the calculation gives -0.802 eV per atom.



Here is crystalline ScSiIr2 at its relaxed geometry from the Alexandria database. Energies are from GGA-PBE.

The space group is P4mm (No. 99) and the conventional cell measures 2.938, 2.938 and 7.285 Å, with angles of 90.00, 90.00 and 90.00 degrees. The distinct sites, in fractional coordinates, are Sc at (0.000, 0.000, 0.000), Si at (0.500, 0.500, 0.298), Ir at (0.000, 0.000, 0.476) and Ir at (0.500, 0.500, 0.756).

For the uncorrected formation energy, the calculation gives -0.475 eV per atom.



Here is crystalline RbAg2Cl3 at its relaxed geometry from the Alexandria database. Energies are from GGA-PBE.

The space group is Cmcm (No. 63) and the conventional cell measures 4.248, 14.733 and 10.560 Å, with angles of 90.00, 90.00 and 90.00 degrees. The distinct sites, in fractional coordinates, are Rb at (0.000, 0.237, 0.250), Ag at (0.000, 0.000, 0.000), Ag at (0.000, 0.491, 0.750), Cl at (0.000, 0.093, 0.750) and Cl at (0.000, 0.380, 0.556).

For the uncorrected formation energy, the calculation gives -0.925 eV per atom. As for the relative energy among the computed polymorphs: 19 meV/atom.



Here is crystalline Hf8Ni2As at its relaxed geometry from the Alexandria database. Energies are from GGA-PBE.

The space group is C2/m (No. 12) and the conventional cell measures 7.633, 12.157 and 4.944 Å, with angles of 90.00, 106.55 and 90.00 degrees. The distinct sites, in fractional coordinates, are Hf at (0.000, 0.240, 0.000), Hf at (0.108, 0.500, 0.813), Hf at (0.205, 0.121, 0.591), Ni at (0.000, 0.306, 0.500) and As at (0.000, 0.000, 0.000).

The energy of formation comes out at -0.1549 eV/atom.



Here is crystalline RbNaMnH4 at its relaxed geometry from the Alexandria database. Energies are from GGA-PBE.

The space group is F-43m (No. 216) and the conventional cell measures 8.667, 8.667 and 8.667 Å, with angles of 90.00, 90.00 and 90.00 degrees. The distinct sites, in fractional coordinates, are Rb at (0.000, 0.000, 0.000), Na at (0.250, 0.250, 0.750), Mn at (0.000, 0.000, 0.500) and H at (0.115, 0.115, 0.615).

The electronic total energy comes out at -3.509 eV per atom.



Here is crystalline MnNi2As at its relaxed geometry from the Alexandria database. Energies are from GGA-PBE.

The space group is P4/mmm (No. 123) and the conventional cell measures 3.641, 3.641 and 3.673 Å, with angles of 90.00, 90.00 and 90.00 degrees. The distinct sites, in fractional coordinates, are Mn at (0.000, 0.000, 0.000), Ni at (0.000, 0.500, 0.500) and As at (0.500, 0.500, 0.000).

The energy of formation comes out at -0.1444 eV/atom.



Here is crystalline MgScAl at its relaxed geometry from the Alexandria database. Energies are from GGA-PBE.

The space group is Amm2 (No. 38) and the conventional cell measures 4.198, 4.413 and 13.177 Å, with angles of 90.00, 90.00 and 90.00 degrees. The distinct sites, in fractional coordinates, are Mg at (0.000, 0.000, 0.000), Mg at (0.500, 0.000, 0.169), Sc at (0.000, 0.000, 0.344), Sc at (0.000, 0.000, 0.665), Al at (0.500, 0.000, 0.501) and Al at (0.500, 0.000, 0.836).

The energy of formation comes out at -0.2180 eV/atom.



Here is crystalline Rb2CrPI6 at its relaxed geometry from the Alexandria database. Energies are from GGA-PBE.

The space group is I4/mmm (No. 139) and the conventional cell measures 8.154, 8.154 and 11.504 Å, with angles of 90.00, 90.00 and 90.00 degrees. The distinct sites, in fractional coordinates, are Rb at (0.000, 0.500, 0.250), Cr at (0.000, 0.000, 0.000), P at (0.000, 0.000, 0.500), I at (0.000, 0.000, 0.250) and I at (0.249, 0.249, 0.000).

For the uncorrected formation energy, the calculation gives -0.572 eV per atom.



Here is crystalline SmSiRu at its relaxed geometry from the Alexandria database. Energies are from GGA-PBE.

The space group is P2_1/m (No. 11) and the conventional cell measures 4.223, 4.223 and 6.778 Å, with angles of 90.00, 90.07 and 90.00 degrees. The distinct sites, in fractional coordinates, are Sm at (0.250, 0.250, 0.179), Si at (0.250, 0.250, 0.680) and Ru at (0.250, 0.750, 0.500).

For the uncorrected formation energy, the calculation gives -0.796 eV per atom.